No. 1
A plane-wave DFT calculation with PBE was carried out for Ge2Pt2O5 after structural relaxation.

abc: 3.6166 3.6166 8.1104
angles: 90.00 90.00 90.00
Element x y z (fractional)
Ge1 0.0000 0.0000 0.2320
Ge2 0.0000 0.0000 0.7680
Pt1 0.5000 0.5000 0.0000
Pt2 0.5000 0.5000 0.5000
O1 0.0000 0.0000 0.0000
O2 0.0000 0.5000 0.3167
O3 0.0000 0.5000 0.6833
O4 0.5000 0.0000 0.3167
O5 0.5000 0.0000 0.6833

Calculated values
The calculation puts the total magnetization at 0.2739 μB/atom. As for the space-group type: P4/mmm. The calculation puts the energy above the lowest structure with this stoichiometry at 0.0 meV per atom. For the total energy, the calculation gives -48.2 eV per cell.


No. 2
A plane-wave DFT calculation with PBE was carried out for GePtO after structural relaxation.

abc: 2.9413 6.3779 4.5362
angles: 90.00 90.00 90.00
Element x y z (fractional)
Ge1 0.0000 0.1771 0.0000
Ge2 0.5000 0.8229 0.5000
Pt1 0.0000 0.5481 0.2636
Pt2 0.5000 0.4519 0.7636
O1 0.0000 0.9586 0.7056
O2 0.5000 0.0414 0.2056

Calculated values
The calculation puts the total magnetization at 0.0014 μB/atom. As for the space-group type: Pmn2_1. The calculation puts the energy above the lowest structure with this stoichiometry at 19.1 meV per atom. For the total energy, the calculation gives -35.9 eV per cell.


No. 3
A plane-wave DFT calculation with PBE was carried out for Ge3Pt2O after structural relaxation.

abc: 4.8944 3.4852 6.0389
angles: 90.00 93.01 90.00
Element x y z (fractional)
Ge1 0.0000 0.0000 0.0000
Ge2 0.1424 0.5000 0.4536
Ge3 0.5236 0.5000 0.7264
Pt1 0.3417 0.5000 0.0941
Pt2 0.8384 0.0000 0.6013
O1 0.7019 0.0000 0.1861

Calculated values
The calculation puts the total magnetization at 0.0025 μB/atom. As for the space-group type: Pm. For the total energy, the calculation gives -33.4 eV per cell.


No. 4
A plane-wave DFT calculation with PBE was carried out for Ge2Pt3O after structural relaxation.

abc: 4.7533 4.1141 4.9238
angles: 90.00 103.06 90.00
Element x y z (fractional)
Ge1 0.0000 0.0000 0.0000
Ge2 0.1796 0.5000 0.5856
Pt1 0.3133 0.5000 0.1289
Pt2 0.6704 0.0000 0.3498
Pt3 0.7137 0.5000 0.7682
O1 0.1038 0.0000 0.6221

Calculated values
The calculation puts the total magnetization at 0.0005 μB/atom. As for the space-group type: Pm. The calculation puts the energy above the lowest structure with this stoichiometry at 3.1 meV per atom. For the total energy, the calculation gives -34.1 eV per cell.